{
  "formula": "Na11B21Br2O36",
  "functional": "PBE",
  "state": "relaxed",
  "total_energy_ha_per_atom": -0.2625,
  "dos_ef_per_ev_atom": 0.00,
  "spacegroup": "C2/c (15)",
  "e_form_raw_mev_per_atom": -2336,
  "mass_density_g_cm3": 2.335,
  "lattice_angstrom": [[-5.6351, -5.7034, -4.4378], [-3.6739, -7.2228, 4.2791], [-21.5233, 9.5387, 6.5053]],
  "species": ["Na", "Na", "Na", "Na", "Na", "Na", "Na", "Na", "Na", "Na", "Na", "Na", "Na", "Na", "Na", "Na", "Na", "Na", "Na", "Na", "Na", "Na", "B", "B", "B", "B", "B", "B", "B", "B", "B", "B", "B", "B", "B", "B", "B", "B", "B", "B", "B", "B", "B", "B", "B", "B", "B", "B", "B", "B", "B", "B", "B", "B", "B", "B", "B", "B", "B", "B", "B", "B", "B", "B", "Br", "Br", "Br", "Br", "O", "O", "O", "O", "O", "O", "O", "O", "O", "O", "O", "O", "O", "O", "O", "O", "O", "O", "O", "O", "O", "O", "O", "O", "O", "O", "O", "O", "O", "O", "O", "O", "O", "O", "O", "O", "O", "O", "O", "O", "O", "O", "O", "O", "O", "O", "O", "O", "O", "O", "O", "O", "O", "O", "O", "O", "O", "O", "O", "O", "O", "O", "O", "O", "O", "O", "O", "O", "O", "O", "O", "O"],
  "frac_coords": [[0.2821, 0.0252, 0.6592], [0.9748, 0.7179, 0.8408], [0.7179, 0.9748, 0.3408], [0.0252, 0.2821, 0.1592], [0.0133, 0.7788, 0.6566], [0.2212, 0.9867, 0.8434], [0.9867, 0.2212, 0.3434], [0.7788, 0.0133, 0.1566], [0.3240, 0.5227, 0.4958], [0.4773, 0.6760, 0.0042], [0.6760, 0.4773, 0.5042], [0.5227, 0.3240, 0.9958], [0.8983, 0.8989, 0.4875], [0.1011, 0.1017, 0.0125], [0.1017, 0.1011, 0.5125], [0.8989, 0.8983, 0.9875], [0.5294, 0.5199, 0.6578], [0.4801, 0.4706, 0.8422], [0.4706, 0.4801, 0.3422], [0.5199, 0.5294, 0.1578], [0.5000, 0.0000, 0.5000], [0.0000, 0.5000, 0.0000], [0.8872, 0.3320, 0.6002], [0.6680, 0.1128, 0.8998], [0.1128, 0.6680, 0.3998], [0.3320, 0.8872, 0.1002], [0.6896, 0.9211, 0.5934], [0.0789, 0.3104, 0.9066], [0.3104, 0.0789, 0.4066], [0.9211, 0.6896, 0.0934], [0.1338, 0.3895, 0.5765], [0.6105, 0.8662, 0.9235], [0.8662, 0.6105, 0.4235], [0.3895, 0.1338, 0.0765], [0.4428, 0.2214, 0.6058], [0.7786, 0.5572, 0.8942], [0.5572, 0.7786, 0.3942], [0.2214, 0.4428, 0.1058], [0.8437, 0.6261, 0.5650], [0.3739, 0.1563, 0.9350], [0.1563, 0.3739, 0.4350], [0.6261, 0.8437, 0.0650], [0.0898, 0.9102, 0.7500], [0.9102, 0.0898, 0.2500], [0.2581, 0.8320, 0.4180], [0.1680, 0.7419, 0.0820], [0.7419, 0.1680, 0.5820], [0.8320, 0.2581, 0.9180], [0.2536, 0.5860, 0.7484], [0.4140, 0.7464, 0.7516], [0.7464, 0.4140, 0.2516], [0.5860, 0.2536, 0.2484], [0.6594, 0.7763, 0.6947], [0.2237, 0.3406, 0.8053], [0.3406, 0.2237, 0.3053], [0.7763, 0.6594, 0.1947], [0.8762, 0.1928, 0.7015], [0.8072, 0.1238, 0.7985], [0.1238, 0.8072, 0.2985], [0.1928, 0.8762, 0.2015], [0.6761, 0.6875, 0.7937], [0.3125, 0.3239, 0.7063], [0.3239, 0.3125, 0.2063], [0.6875, 0.6761, 0.2937], [0.3225, 0.7664, 0.5606], [0.2336, 0.6775, 0.9394], [0.6775, 0.2336, 0.4394], [0.7664, 0.3225, 0.0606], [0.7656, 0.2344, 0.7500], [0.2344, 0.7656, 0.2500], [0.3009, 0.3463, 0.5709], [0.6537, 0.6991, 0.9291], [0.6991, 0.6537, 0.4291], [0.3463, 0.3009, 0.0709], [0.7391, 0.7974, 0.5502], [0.2026, 0.2609, 0.9498], [0.2609, 0.2026, 0.4498], [0.7974, 0.7391, 0.0502], [0.7387, 0.8214, 0.6476], [0.1786, 0.2613, 0.8524], [0.2613, 0.1786, 0.3524], [0.8214, 0.7387, 0.1476], [0.8260, 0.3199, 0.6584], [0.6801, 0.1740, 0.8416], [0.1740, 0.6801, 0.3416], [0.3199, 0.8260, 0.1584], [0.4074, 0.5926, 0.7500], [0.5926, 0.4074, 0.2500], [0.5141, 0.0501, 0.5888], [0.9499, 0.4859, 0.9112], [0.4859, 0.9499, 0.4112], [0.0501, 0.5141, 0.0888], [0.5097, 0.7756, 0.6967], [0.2244, 0.4903, 0.8033], [0.4903, 0.2244, 0.3033], [0.7756, 0.5097, 0.1967], [0.1023, 0.7517, 0.7416], [0.2483, 0.8977, 0.7584], [0.8977, 0.2483, 0.2584], [0.7517, 0.1023, 0.2416], [0.2175, 0.4848, 0.4218], [0.5152, 0.7825, 0.0782], [0.7825, 0.5152, 0.5782], [0.4848, 0.2175, 0.9218], [0.0198, 0.5640, 0.5623], [0.4360, 0.9802, 0.9377], [0.9802, 0.4360, 0.4377], [0.5640, 0.0198, 0.0623], [0.8060, 0.9971, 0.5781], [0.0029, 0.1940, 0.9219], [0.1940, 0.0029, 0.4219], [0.9971, 0.8060, 0.0781], [0.4272, 0.7211, 0.4036], [0.2789, 0.5728, 0.0964], [0.5728, 0.2789, 0.5964], [0.7211, 0.4272, 0.9036], [0.0196, 0.0362, 0.6983], [0.9638, 0.9804, 0.8017], [0.9804, 0.9638, 0.3017], [0.0362, 0.0196, 0.1983], [0.0738, 0.2763, 0.5912], [0.7237, 0.9262, 0.9088], [0.9262, 0.7237, 0.4088], [0.2763, 0.0738, 0.0912], [0.2832, 0.4882, 0.6996], [0.5118, 0.7168, 0.8004], [0.7168, 0.5118, 0.3004], [0.4882, 0.2832, 0.1996], [0.7475, 0.7237, 0.7417], [0.2763, 0.2525, 0.7583], [0.2525, 0.2763, 0.2583], [0.7237, 0.7475, 0.2417], [0.1423, 0.7720, 0.4323], [0.2280, 0.8577, 0.0677], [0.8577, 0.2280, 0.5677], [0.7720, 0.1423, 0.9323], [0.3730, 0.2199, 0.6644], [0.7801, 0.6270, 0.8356], [0.6270, 0.7801, 0.3356], [0.2199, 0.3730, 0.1644]]
}